(1)
# Ag2BiAs, relaxed, DFT PBE
data_Ag2BiAs
_space_group_name_H-M_alt 'P 1'
_space_group_IT_number 1
_cell_length_a 4.172
_cell_length_b 4.172
_cell_length_c 6.576
_cell_angle_alpha 71.50
_cell_angle_beta 71.50
_cell_angle_gamma 60.00
loop_
_space_group_symop_operation_xyz
'x,y,z'
loop_
_atom_site_label
_atom_site_type_symbol
_atom_site_fract_x
_atom_site_fract_y
_atom_site_fract_z
_atom_site_occupancy
As1 As 0.000 0.000 0.000 1
Bi1 Bi 0.500 0.500 0.500 1
Ag1 Ag 0.266 0.266 0.203 1
Ag2 Ag 0.734 0.734 0.797 1
# - Raw total energy: -13.382 eV per formula unit
# - Volume: 92.23 Å³/cell
# - SG: R-3m, No. 166
# - ΔE_f: 213 meV/atom
# - Magnetization: 0.000 μB per cell

***

(2)
# Ag2BiAs, relaxed, DFT PBE
data_Ag2BiAs
_space_group_name_H-M_alt 'P 1'
_space_group_IT_number 1
_cell_length_a 7.840
_cell_length_b 7.840
_cell_length_c 6.296
_cell_angle_alpha 51.50
_cell_angle_beta 51.50
_cell_angle_gamma 90.00
loop_
_space_group_symop_operation_xyz
'x,y,z'
loop_
_atom_site_label
_atom_site_type_symbol
_atom_site_fract_x
_atom_site_fract_y
_atom_site_fract_z
_atom_site_occupancy
As1 As 0.500 0.500 0.000 1
As2 As 0.250 0.750 0.500 1
Bi1 Bi 0.000 0.000 0.000 1
Bi2 Bi 0.750 0.250 0.500 1
Ag1 Ag 0.594 0.125 0.250 1
Ag2 Ag 0.156 0.625 0.250 1
Ag3 Ag 0.375 0.406 0.750 1
Ag4 Ag 0.875 0.844 0.750 1
# - Raw total energy: -13.231 eV per formula unit
# - Volume: 183.48 Å³/cell
# - SG: I-42d, No. 122
# - ΔE_f: 250 meV/atom
# - Magnetization: 0.000 μB per cell

***

(3)
# AgBi2As, relaxed, DFT PBE
data_AgBi2As
_space_group_name_H-M_alt 'P 1'
_space_group_IT_number 1
_cell_length_a 4.116
_cell_length_b 4.116
_cell_length_c 7.715
_cell_angle_alpha 74.53
_cell_angle_beta 74.53
_cell_angle_gamma 60.00
loop_
_space_group_symop_operation_xyz
'x,y,z'
loop_
_atom_site_label
_atom_site_type_symbol
_atom_site_fract_x
_atom_site_fract_y
_atom_site_fract_z
_atom_site_occupancy
As1 As 0.000 0.000 0.000 1
Bi1 Bi 0.251 0.251 0.248 1
Bi2 Bi 0.749 0.749 0.752 1
Ag1 Ag 0.500 0.500 0.500 1
# - Raw total energy: -14.780 eV per formula unit
# - Volume: 107.70 Å³/cell
# - SG: R-3m, No. 166
# - ΔE_f: 121 meV/atom
# - Magnetization: 0.000 μB per cell

***

(4)
# AgBiAsBr2, relaxed, DFT PBE
data_AgBiAsBr2
_space_group_name_H-M_alt 'P 1'
_space_group_IT_number 1
_cell_length_a 5.154
_cell_length_b 5.154
_cell_length_c 5.338
_cell_angle_alpha 90.00
_cell_angle_beta 90.00
_cell_angle_gamma 90.00
loop_
_space_group_symop_operation_xyz
'x,y,z'
loop_
_atom_site_label
_atom_site_type_symbol
_atom_site_fract_x
_atom_site_fract_y
_atom_site_fract_z
_atom_site_occupancy
As1 As 0.000 0.000 0.500 1
Br1 Br 0.000 0.500 0.000 1
Br2 Br 0.500 0.000 0.000 1
Bi1 Bi 0.500 0.500 0.500 1
Ag1 Ag 0.000 0.000 0.000 1
# - Raw total energy: -13.025 eV per formula unit
# - Volume: 141.76 Å³/cell
# - SG: P4/mmm, No. 123
# - E above lowest polymorph: 0.00 eV/f.u.
# - Magnetization: 0.000 μB per cell
# - Formation energy (no corrections): 164 kJ/mol of formula units

***

(5)
# Li2AgBiAs, relaxed, DFT PBE
data_Li2AgBiAs
_space_group_name_H-M_alt 'P 1'
_space_group_IT_number 1
_cell_length_a 4.736
_cell_length_b 5.102
_cell_length_c 4.736
_cell_angle_alpha 90.00
_cell_angle_beta 90.00
_cell_angle_gamma 90.00
loop_
_space_group_symop_operation_xyz
'x,y,z'
loop_
_atom_site_label
_atom_site_type_symbol
_atom_site_fract_x
_atom_site_fract_y
_atom_site_fract_z
_atom_site_occupancy
As1 As 0.000 0.000 0.000 1
Bi1 Bi 0.500 0.500 0.500 1
Ag1 Ag 0.000 0.500 0.000 1
Li1 Li 0.000 0.000 0.500 1
Li2 Li 0.500 0.000 0.000 1
# - Raw total energy: -15.489 eV per formula unit
# - Volume: 114.44 Å³/cell
# - SG: P4/mmm, No. 123
# - ΔE_f: -56 meV/atom
# - Magnetization: 0.000 μB per cell

***

(6)
# AgBiAsP2, relaxed, DFT PBE
data_AgBiAsP2
_space_group_name_H-M_alt 'P 1'
_space_group_IT_number 1
_cell_length_a 4.684
_cell_length_b 5.773
_cell_length_c 4.684
_cell_angle_alpha 90.00
_cell_angle_beta 90.00
_cell_angle_gamma 90.00
loop_
_space_group_symop_operation_xyz
'x,y,z'
loop_
_atom_site_label
_atom_site_type_symbol
_atom_site_fract_x
_atom_site_fract_y
_atom_site_fract_z
_atom_site_occupancy
P1 P 0.000 0.000 0.500 1
P2 P 0.500 0.000 0.000 1
As1 As 0.500 0.500 0.500 1
Bi1 Bi 0.000 0.500 0.000 1
Ag1 Ag 0.000 0.000 0.000 1
# - Raw total energy: -16.878 eV per formula unit
# - Volume: 126.66 Å³/cell
# - SG: P4/mmm, No. 123
# - ΔE_f: 1065 meV/atom
# - Magnetization: 0.000 μB per cell

***

The lowest volume belongs to which entry?
number 1